Entry 1:
Density functional theory data (GGA-PBE) for crystalline NaZr3O6 at its relaxed geometry.

Cell lengths 3.235, 3.235, 15.031 Å; angles 90.00, 90.00, 120.00 degrees
Each line ends with the local moment (μB).
Atoms (fractional coordinates):
Na1 0.000 0.000 0.500  0.01
O1 0.333 0.667 0.066  0.00
O2 0.667 0.333 0.238  0.04
O3 0.333 0.667 0.389  0.00
O4 0.667 0.333 0.611  0.00
O5 0.333 0.667 0.762  0.04
O6 0.667 0.333 0.934  0.00
Zr1 0.000 0.000 0.000  0.00
Zr2 0.000 0.000 0.304  0.29
Zr3 0.000 0.000 0.696  0.29

## Properties
ρ = 4.8 g cm⁻³
Electronic total energy = -84.27 eV per cell



Entry 2:
Density functional theory data (GGA-PBE) for crystalline Tb3Nb3W2N12 at its relaxed geometry.

Cell lengths 11.113, 11.113, 11.113 Å; angles 109.47, 109.47, 109.47 degrees
Atoms (fractional coordinates):
N1 0.199 0.117 0.024
N2 0.325 0.907 0.024
N3 0.883 0.407 0.082
N4 0.699 0.675 0.082
N5 0.976 0.675 0.093
N6 0.617 0.418 0.093
N7 0.593 0.918 0.117
N8 0.024 0.199 0.117
N9 0.199 0.582 0.175
N10 0.476 0.593 0.175
N11 0.582 0.175 0.199
N12 0.117 0.024 0.199
N13 0.476 0.383 0.301
N14 0.325 0.918 0.301
N15 0.907 0.024 0.325
N16 0.918 0.301 0.325
N17 0.301 0.476 0.383
N18 0.582 0.907 0.383
N19 0.825 0.524 0.407
N20 0.082 0.883 0.407
N21 0.093 0.617 0.418
N22 0.825 0.801 0.418
N23 0.593 0.175 0.476
N24 0.383 0.301 0.476
N25 0.617 0.699 0.524
N26 0.407 0.825 0.524
N27 0.175 0.199 0.582
N28 0.907 0.383 0.582
N29 0.918 0.117 0.593
N30 0.175 0.476 0.593
N31 0.418 0.093 0.617
N32 0.699 0.524 0.617
N33 0.082 0.699 0.675
N34 0.093 0.976 0.675
N35 0.675 0.082 0.699
N36 0.524 0.617 0.699
N37 0.418 0.825 0.801
N38 0.883 0.976 0.801
N39 0.524 0.407 0.825
N40 0.801 0.418 0.825
N41 0.407 0.082 0.883
N42 0.976 0.801 0.883
N43 0.024 0.325 0.907
N44 0.383 0.582 0.907
N45 0.301 0.325 0.918
N46 0.117 0.593 0.918
N47 0.675 0.093 0.976
N48 0.801 0.883 0.976
Nb1 0.875 0.250 0.125
Nb2 0.750 0.875 0.125
Nb3 0.625 0.375 0.250
Nb4 0.125 0.875 0.250
Nb5 0.250 0.625 0.375
Nb6 0.625 0.750 0.375
Nb7 0.375 0.250 0.625
Nb8 0.750 0.375 0.625
Nb9 0.875 0.125 0.750
Nb10 0.375 0.625 0.750
Nb11 0.250 0.125 0.875
Nb12 0.125 0.750 0.875
Tb1 0.250 0.375 0.125
Tb2 0.375 0.750 0.125
Tb3 0.375 0.125 0.250
Tb4 0.875 0.625 0.250
Tb5 0.750 0.125 0.375
Tb6 0.125 0.250 0.375
Tb7 0.875 0.750 0.625
Tb8 0.250 0.875 0.625
Tb9 0.125 0.375 0.750
Tb10 0.625 0.875 0.750
Tb11 0.625 0.250 0.875
Tb12 0.750 0.625 0.875
W1 0.000 0.000 0.000
W2 0.500 0.000 0.000
W3 0.000 0.500 0.000
W4 0.500 0.500 0.000
W5 0.000 0.000 0.500
W6 0.500 0.000 0.500
W7 0.000 0.500 0.500
W8 0.500 0.500 0.500

## Properties
ρ = 8.1 g cm⁻³
Electronic total energy = -752.48 eV per cell



Entry 3:
Density functional theory data (GGA-PBE) for crystalline NbTcAs2 at its relaxed geometry.

Cell lengths 4.529, 4.529, 4.529 Å; angles 60.00, 60.00, 60.00 degrees
Atoms (fractional coordinates):
As1 0.500 0.500 0.500
As2 0.750 0.750 0.750
Nb1 0.250 0.250 0.250
Tc1 0.000 0.000 0.000

## Properties
ρ = 8.6 g cm⁻³
Electronic total energy = -29.10 eV per cell



Entry 4:
Density functional theory data (GGA-PBE) for crystalline TbMgAgTe3 at its relaxed geometry.

Cell lengths 8.271, 4.194, 10.119 Å; angles 90.00, 102.48, 90.00 degrees
Atoms (fractional coordinates):
Ag1 0.091 0.250 0.081
Ag2 0.909 0.750 0.919
Mg1 0.787 0.750 0.216
Mg2 0.213 0.250 0.784
Tb1 0.318 0.750 0.321
Tb2 0.682 0.250 0.679
Te1 0.291 0.750 0.009
Te2 0.054 0.250 0.348
Te3 0.599 0.250 0.356
Te4 0.401 0.750 0.644
Te5 0.946 0.750 0.652
Te6 0.709 0.250 0.991

## Properties
ρ = 6.5 g cm⁻³
Relative energy among the computed polymorphs = 0 meV/atom
Electronic total energy = -46.65 eV per cell



Entry 5:
Density functional theory data (GGA-PBE) for crystalline In2AgIr2 at its relaxed geometry.

Cell lengths 3.927, 3.927, 7.032 Å; angles 106.21, 106.21, 90.00 degrees
Atoms (fractional coordinates):
Ag1 0.000 0.000 0.000
In1 0.607 0.607 0.213
In2 0.393 0.393 0.787
Ir1 0.750 0.250 0.500
Ir2 0.250 0.750 0.500

## Properties
ρ = 12.0 g cm⁻³
Relative energy among the computed polymorphs = 0 meV/atom
Electronic total energy = -24.27 eV per cell



Entry 6:
Density functional theory data (GGA-PBE) for crystalline HgPbAu2 at its relaxed geometry.

Cell lengths 5.027, 5.027, 5.027 Å; angles 60.00, 60.00, 60.00 degrees
Atoms (fractional coordinates):
Au1 0.000 0.000 0.000
Au2 0.750 0.750 0.750
Hg1 0.250 0.250 0.250
Pb1 0.500 0.500 0.500

## Properties
ρ = 14.8 g cm⁻³
Relative energy among the computed polymorphs = 0 meV/atom
Electronic total energy = -10.18 eV per cell



Entry 7:
Density functional theory data (GGA-PBE) for crystalline BaUTa at its relaxed geometry.

Cell lengths 5.232, 5.232, 5.232 Å; angles 60.00, 60.00, 60.00 degrees
Each line ends with the local moment (μB).
Atoms (fractional coordinates):
Ba1 0.750 0.750 0.750  -0.03
Ta1 0.000 0.000 0.000  -0.42
U1 0.250 0.250 0.250  1.93

## Properties
ρ = 9.1 g cm⁻³
Relative energy among the computed polymorphs = 0 meV/atom
Electronic total energy = -19.88 eV per cell



Entry 8:
Density functional theory data (GGA-PBE) for crystalline NdLu at its relaxed geometry.

Cell lengths 5.696, 5.696, 6.245 Å; angles 90.00, 90.00, 120.00 degrees
Atoms (fractional coordinates):
Lu1 0.333 0.667 0.437
Lu2 0.000 0.000 0.937
Nd1 0.000 0.000 0.438
Nd2 0.333 0.667 0.938

## Properties
ΔE_f = 1216 meV per atom
ρ = 6.0 g cm⁻³
Relative energy among the computed polymorphs = 1172 meV/atom
Electronic total energy = -13.71 eV per cell